1.
Here is a relaxed NbSnIr2 crystal from OQMD. Energies are from PBE-GGA.

Summary:
DFT total energy, eV/atom: -7.93
Spin magnetization, μB per formula unit: 0.00

The structure in CIF format:
```
data_NbSnIr2
_cell_length_a 4.5707
_cell_length_b 4.5707
_cell_length_c 4.5707
_cell_angle_alpha 60.00
_cell_angle_beta 60.00
_cell_angle_gamma 60.00
_space_group_name_H-M_alt 'P 1'
_space_group_IT_number 1
loop_
_space_group_symop_operation_xyz
'x,y,z'
loop_
_atom_site_label
_atom_site_type_symbol
_atom_site_fract_x
_atom_site_fract_y
_atom_site_fract_z
Ir1 Ir 0.0000 0.0000 0.0000
Ir2 Ir 0.7500 0.7500 0.7500
Nb1 Nb 0.2500 0.2500 0.2500
Sn1 Sn 0.5000 0.5000 0.5000
```

=====

2.
Here is a relaxed Nb6SnIr crystal from OQMD. Energies are from PBE-GGA.

Summary:
DFT total energy, eV/atom: -9.43
Spin magnetization, μB per formula unit: 0.02

The structure in CIF format:
```
data_Nb6SnIr
_cell_length_a 5.2468
_cell_length_b 5.2468
_cell_length_c 5.2468
_cell_angle_alpha 90.00
_cell_angle_beta 90.00
_cell_angle_gamma 90.00
_space_group_name_H-M_alt 'P 1'
_space_group_IT_number 1
loop_
_space_group_symop_operation_xyz
'x,y,z'
loop_
_atom_site_label
_atom_site_type_symbol
_atom_site_fract_x
_atom_site_fract_y
_atom_site_fract_z
Ir1 Ir 0.0000 0.0000 0.0000
Nb1 Nb 0.2436 0.5000 0.0000
Nb2 Nb 0.7564 0.5000 0.0000
Nb3 Nb 0.5000 0.0000 0.2436
Nb4 Nb 0.0000 0.2436 0.5000
Nb5 Nb 0.0000 0.7564 0.5000
Nb6 Nb 0.5000 0.0000 0.7564
Sn1 Sn 0.5000 0.5000 0.5000
```

=====

3.
Here is a relaxed NbSn2Ir crystal from OQMD. Energies are from PBE-GGA.

Summary:
DFT total energy, eV/atom: -6.48
Spin magnetization, μB per formula unit: 0.48

The structure in CIF format:
```
data_NbSn2Ir
_cell_length_a 4.7966
_cell_length_b 4.7966
_cell_length_c 4.7966
_cell_angle_alpha 60.00
_cell_angle_beta 60.00
_cell_angle_gamma 60.00
_space_group_name_H-M_alt 'P 1'
_space_group_IT_number 1
loop_
_space_group_symop_operation_xyz
'x,y,z'
loop_
_atom_site_label
_atom_site_type_symbol
_atom_site_fract_x
_atom_site_fract_y
_atom_site_fract_z
Ir1 Ir 0.5000 0.5000 0.5000
Nb1 Nb 0.7500 0.7500 0.7500
Sn1 Sn 0.0000 0.0000 0.0000
Sn2 Sn 0.2500 0.2500 0.2500
```

=====

4.
Here is a relaxed TaNbSn2Ir2 crystal from OQMD. Energies are from PBE-GGA.

Summary:
DFT total energy, eV/atom: -8.47
Spin magnetization, μB per formula unit: 0.00

The structure in CIF format:
```
data_TaNbSn2Ir2
_cell_length_a 8.8134
_cell_length_b 4.4066
_cell_length_c 13.2202
_cell_angle_alpha 90.00
_cell_angle_beta 109.47
_cell_angle_gamma 90.00
_space_group_name_H-M_alt 'P 1'
_space_group_IT_number 1
loop_
_space_group_symop_operation_xyz
'x,y,z'
loop_
_atom_site_label
_atom_site_type_symbol
_atom_site_fract_x
_atom_site_fract_y
_atom_site_fract_z
Ir1 Ir 0.0000 0.0000 0.0000
Ir2 Ir 0.5004 0.0000 0.0008
Ir3 Ir 0.3746 0.5000 0.2492
Ir4 Ir 0.8746 0.5000 0.2493
Ir5 Ir 0.2493 0.0000 0.5003
Ir6 Ir 0.7510 0.0000 0.5004
Ir7 Ir 0.1240 0.5000 0.7496
Ir8 Ir 0.6261 0.5000 0.7504
Nb1 Nb 0.6875 0.5000 0.3750
Nb2 Nb 0.1875 0.5000 0.3751
Nb3 Nb 0.5625 0.0000 0.6250
Nb4 Nb 0.4376 0.5000 0.8750
Sn1 Sn 0.5625 0.5000 0.1250
Sn2 Sn 0.0625 0.5000 0.1251
Sn3 Sn 0.9374 0.0000 0.3749
Sn4 Sn 0.4376 0.0000 0.3751
Sn5 Sn 0.8121 0.5000 0.6248
Sn6 Sn 0.3128 0.5000 0.6251
Sn7 Sn 0.6872 0.0000 0.8749
Sn8 Sn 0.1878 0.0000 0.8750
Ta1 Ta 0.8124 0.0000 0.1250
Ta2 Ta 0.3126 0.0000 0.1251
Ta3 Ta 0.0624 0.0000 0.6249
Ta4 Ta 0.9374 0.5000 0.8749
```

=====

5.
Here is a relaxed Sr2NbIr crystal from OQMD. Energies are from PBE-GGA.

Summary:
DFT total energy, eV/atom: -4.92
Spin magnetization, μB per formula unit: 0.17

The structure in CIF format:
```
data_Sr2NbIr
_cell_length_a 5.1142
_cell_length_b 5.1142
_cell_length_c 5.1142
_cell_angle_alpha 60.00
_cell_angle_beta 60.00
_cell_angle_gamma 60.00
_space_group_name_H-M_alt 'P 1'
_space_group_IT_number 1
loop_
_space_group_symop_operation_xyz
'x,y,z'
loop_
_atom_site_label
_atom_site_type_symbol
_atom_site_fract_x
_atom_site_fract_y
_atom_site_fract_z
Ir1 Ir 0.5000 0.5000 0.5000
Nb1 Nb 0.7500 0.7500 0.7500
Sr1 Sr 0.0000 0.0000 0.0000
Sr2 Sr 0.2500 0.2500 0.2500
```

=====

6.
Here is a relaxed SrNbIr crystal from OQMD. Energies are from PBE-GGA.

Summary:
DFT total energy, eV/atom: -5.12
Energy relative to the lowest polymorph listed for this composition, meV/atom: 1277
Spin magnetization, μB per formula unit: 1.08

The structure in CIF format:
```
data_SrNbIr
_cell_length_a 4.6635
_cell_length_b 4.6635
_cell_length_c 4.6635
_cell_angle_alpha 60.00
_cell_angle_beta 60.00
_cell_angle_gamma 60.00
_space_group_name_H-M_alt 'P 1'
_space_group_IT_number 1
loop_
_space_group_symop_operation_xyz
'x,y,z'
loop_
_atom_site_label
_atom_site_type_symbol
_atom_site_fract_x
_atom_site_fract_y
_atom_site_fract_z
Ir1 Ir 0.2500 0.2500 0.2500
Nb1 Nb 0.7500 0.7500 0.7500
Sr1 Sr 0.0000 0.0000 0.0000
```

=====

7.
Here is a relaxed SrNbIr crystal from OQMD. Energies are from PBE-GGA.

Summary:
DFT total energy, eV/atom: -6.39
Energy relative to the lowest polymorph listed for this composition, meV/atom: 0
Spin magnetization, μB per formula unit: 1.22

The structure in CIF format:
```
data_SrNbIr
_cell_length_a 4.6998
_cell_length_b 4.6998
_cell_length_c 4.6998
_cell_angle_alpha 60.00
_cell_angle_beta 60.00
_cell_angle_gamma 60.00
_space_group_name_H-M_alt 'P 1'
_space_group_IT_number 1
loop_
_space_group_symop_operation_xyz
'x,y,z'
loop_
_atom_site_label
_atom_site_type_symbol
_atom_site_fract_x
_atom_site_fract_y
_atom_site_fract_z
Ir1 Ir 0.0000 0.0000 0.0000
Nb1 Nb 0.2500 0.2500 0.2500
Sr1 Sr 0.7500 0.7500 0.7500
```

=====

8.
Here is a relaxed Ta2NbIr crystal from OQMD. Energies are from PBE-GGA.

Summary:
DFT total energy, eV/atom: -10.78
Energy relative to the elements, eV/atom: -0.114
Energy relative to the lowest polymorph listed for this composition, meV/atom: 345
Spin magnetization, μB per formula unit: 0.00

The structure in CIF format:
```
data_Ta2NbIr
_cell_length_a 5.6226
_cell_length_b 8.5293
_cell_length_c 5.9965
_cell_angle_alpha 90.00
_cell_angle_beta 90.00
_cell_angle_gamma 90.00
_space_group_name_H-M_alt 'P 1'
_space_group_IT_number 1
loop_
_space_group_symop_operation_xyz
'x,y,z'
loop_
_atom_site_label
_atom_site_type_symbol
_atom_site_fract_x
_atom_site_fract_y
_atom_site_fract_z
Ir1 Ir 0.3837 0.2500 0.0938
Ir2 Ir 0.8837 0.7500 0.4062
Ir3 Ir 0.1163 0.2500 0.5938
Ir4 Ir 0.6163 0.7500 0.9062
Nb1 Nb 0.1502 0.7500 0.0368
Nb2 Nb 0.6502 0.2500 0.4632
Nb3 Nb 0.3498 0.7500 0.5368
Nb4 Nb 0.8498 0.2500 0.9632
Ta1 Ta 0.6168 0.5377 0.2153
Ta2 Ta 0.6168 0.9623 0.2153
Ta3 Ta 0.1168 0.0377 0.2847
Ta4 Ta 0.1168 0.4623 0.2847
Ta5 Ta 0.8832 0.5377 0.7153
Ta6 Ta 0.8832 0.9623 0.7153
Ta7 Ta 0.3832 0.0377 0.7847
Ta8 Ta 0.3832 0.4623 0.7847
```

=====

9.
Here is a relaxed TaNb2Ir crystal from OQMD. Energies are from PBE-GGA.

Summary:
DFT total energy, eV/atom: -10.66
Energy relative to the elements, eV/atom: -0.435
Energy relative to the lowest polymorph listed for this composition, meV/atom: 0
Spin magnetization, μB per formula unit: 0.00

The structure in CIF format:
```
data_TaNb2Ir
_cell_length_a 5.1598
_cell_length_b 5.1796
_cell_length_c 5.1796
_cell_angle_alpha 90.01
_cell_angle_beta 90.00
_cell_angle_gamma 90.00
_space_group_name_H-M_alt 'P 1'
_space_group_IT_number 1
loop_
_space_group_symop_operation_xyz
'x,y,z'
loop_
_atom_site_label
_atom_site_type_symbol
_atom_site_fract_x
_atom_site_fract_y
_atom_site_fract_z
Ir1 Ir 0.7500 0.9979 0.5022
Ir2 Ir 0.2500 0.5022 0.9979
Nb1 Nb 0.2500 0.9996 0.2496
Nb2 Nb 0.0000 0.5004 0.5004
Nb3 Nb 0.5000 0.5004 0.5004
Nb4 Nb 0.7500 0.2496 0.9996
Ta1 Ta 0.2500 0.9996 0.7504
Ta2 Ta 0.7500 0.7504 0.9996
```

=====

10.
Here is a relaxed Ta2NbIr crystal from OQMD. Energies are from PBE-GGA.

Summary:
DFT total energy, eV/atom: -11.03
Energy relative to the elements, eV/atom: -0.369
Energy relative to the lowest polymorph listed for this composition, meV/atom: 89
Spin magnetization, μB per formula unit: 0.00

The structure in CIF format:
```
data_Ta2NbIr
_cell_length_a 4.5310
_cell_length_b 4.5310
_cell_length_c 3.3245
_cell_angle_alpha 90.00
_cell_angle_beta 90.00
_cell_angle_gamma 90.00
_space_group_name_H-M_alt 'P 1'
_space_group_IT_number 1
loop_
_space_group_symop_operation_xyz
'x,y,z'
loop_
_atom_site_label
_atom_site_type_symbol
_atom_site_fract_x
_atom_site_fract_y
_atom_site_fract_z
Ir1 Ir 0.0000 0.0000 0.0000
Nb1 Nb 0.5000 0.5000 0.0000
Ta1 Ta 0.5000 0.0000 0.5000
Ta2 Ta 0.0000 0.5000 0.5000
```

=====

11.
Here is a relaxed Ta3Nb3Ir2 crystal from OQMD. Energies are from PBE-GGA.

Summary:
DFT total energy, eV/atom: -10.89
Energy relative to the elements, eV/atom: -0.447
Spin magnetization, μB per formula unit: 0.00

The structure in CIF format:
```
data_Ta3Nb3Ir2
_cell_length_a 5.1707
_cell_length_b 5.1707
_cell_length_c 5.1707
_cell_angle_alpha 89.99
_cell_angle_beta 89.99
_cell_angle_gamma 89.99
_space_group_name_H-M_alt 'P 1'
_space_group_IT_number 1
loop_
_space_group_symop_operation_xyz
'x,y,z'
loop_
_atom_site_label
_atom_site_type_symbol
_atom_site_fract_x
_atom_site_fract_y
_atom_site_fract_z
Ir1 Ir 0.2481 0.2481 0.2481
Ir2 Ir 0.7519 0.7519 0.7519
Nb1 Nb 0.5000 0.7505 0.2495
Nb2 Nb 0.7505 0.2495 0.5000
Nb3 Nb 0.2495 0.5000 0.7505
Ta1 Ta 0.7505 0.2495 0.0000
Ta2 Ta 0.0000 0.7505 0.2495
Ta3 Ta 0.2495 0.0000 0.7505
```

=====

12.
Here is a relaxed Ta2NbIr crystal from OQMD. Energies are from PBE-GGA.

Summary:
DFT total energy, eV/atom: -11.05
Energy relative to the elements, eV/atom: -0.389
Energy relative to the lowest polymorph listed for this composition, meV/atom: 70
Spin magnetization, μB per formula unit: 0.00

The structure in CIF format:
```
data_Ta2NbIr
_cell_length_a 4.5757
_cell_length_b 6.4704
_cell_length_c 13.7256
_cell_angle_alpha 90.00
_cell_angle_beta 90.00
_cell_angle_gamma 90.00
_space_group_name_H-M_alt 'P 1'
_space_group_IT_number 1
loop_
_space_group_symop_operation_xyz
'x,y,z'
loop_
_atom_site_label
_atom_site_type_symbol
_atom_site_fract_x
_atom_site_fract_y
_atom_site_fract_z
Ir1 Ir 0.0000 0.5000 0.0000
Ir2 Ir 0.5000 0.0000 0.1667
Ir3 Ir 0.0000 0.5000 0.3333
Ir4 Ir 0.5000 0.0000 0.5000
Ir5 Ir 0.0000 0.5000 0.6667
Ir6 Ir 0.5000 0.0000 0.8333
Nb1 Nb 0.0000 0.0000 0.0000
Nb2 Nb 0.5000 0.5000 0.1667
Nb3 Nb 0.0000 0.0000 0.3333
Nb4 Nb 0.5000 0.5000 0.5000
Nb5 Nb 0.0000 0.0000 0.6667
Nb6 Nb 0.5000 0.5000 0.8333
Ta1 Ta 0.5000 0.2500 0.0000
Ta2 Ta 0.5000 0.7500 0.0000
Ta3 Ta 0.0000 0.2500 0.1667
Ta4 Ta 0.0000 0.7500 0.1667
Ta5 Ta 0.5000 0.2500 0.3333
Ta6 Ta 0.5000 0.7500 0.3333
Ta7 Ta 0.0000 0.2500 0.5000
Ta8 Ta 0.0000 0.7500 0.5000
Ta9 Ta 0.5000 0.2500 0.6667
Ta10 Ta 0.5000 0.7500 0.6667
Ta11 Ta 0.0000 0.2500 0.8333
Ta12 Ta 0.0000 0.7500 0.8333
```